First-principles (PBE) data for an optimized crystal structure of Li3La12H5, as listed in the Alexandria database.

Structure (POSCAR):
```
Li3La12H5
1.0
-8.152 8.152 8.152
8.152 -8.152 8.152
8.152 8.152 -8.152
Li La H
12 48 20
Direct
0.125 0.250 0.375
0.125 0.375 0.750
0.250 0.375 0.125
0.250 0.875 0.625
0.375 0.125 0.250
0.375 0.750 0.125
0.625 0.250 0.875
0.625 0.875 0.750
0.750 0.125 0.375
0.750 0.625 0.875
0.875 0.625 0.250
0.875 0.750 0.625
0.014 0.207 0.107
0.014 0.308 0.908
0.092 0.607 0.400
0.092 0.986 0.692
0.100 0.707 0.692
0.100 0.893 0.408
0.107 0.014 0.207
0.107 0.592 0.900
0.192 0.207 0.600
0.192 0.486 0.592
0.207 0.107 0.014
0.207 0.600 0.192
0.293 0.308 0.900
0.293 0.486 0.393
0.308 0.900 0.293
0.308 0.908 0.014
0.393 0.293 0.486
0.393 0.600 0.908
0.400 0.092 0.607
0.400 0.808 0.793
0.408 0.100 0.893
0.408 0.808 0.514
0.486 0.393 0.293
0.486 0.592 0.192
0.514 0.408 0.808
0.514 0.607 0.707
0.592 0.192 0.486
0.592 0.900 0.107
0.600 0.192 0.207
0.600 0.908 0.393
0.607 0.400 0.092
0.607 0.707 0.514
0.692 0.092 0.986
0.692 0.100 0.707
0.707 0.514 0.607
0.707 0.692 0.100
0.793 0.400 0.808
0.793 0.893 0.986
0.808 0.514 0.408
0.808 0.793 0.400
0.893 0.408 0.100
0.893 0.986 0.793
0.900 0.107 0.592
0.900 0.293 0.308
0.908 0.014 0.308
0.908 0.393 0.600
0.986 0.692 0.092
0.986 0.793 0.893
0.000 0.000 0.000
0.000 0.000 0.500
0.000 0.500 0.000
0.000 0.500 0.500
0.125 0.750 0.875
0.125 0.875 0.250
0.250 0.125 0.875
0.250 0.625 0.375
0.375 0.250 0.625
0.375 0.625 0.750
0.500 0.000 0.000
0.500 0.000 0.500
0.500 0.500 0.000
0.500 0.500 0.500
0.625 0.375 0.250
0.625 0.750 0.375
0.750 0.375 0.625
0.750 0.875 0.125
0.875 0.125 0.750
0.875 0.250 0.125
```

The calculation puts the density of states at the Fermi level at 98.81 states/eV per cell. Its space group is Ia-3d (230). For the total energy, the calculation gives -4.160 eV per atom.

First-principles (PBE) data for an optimized crystal structure of Li2LaH, as listed in the Alexandria database.

Structure (POSCAR):
```
Li2LaH
1.0
1.571 0.907 9.043
-1.571 0.907 9.043
0.000 -1.814 9.043
Li La H
2 1 1
Direct
0.123 0.123 0.123
0.877 0.877 0.877
0.000 0.000 0.000
0.500 0.500 0.500
```

The calculation puts the density of states at the Fermi level at 2.47 states/eV per cell. Its space group is R-3m (166). For the total energy, the calculation gives -3.005 eV per atom.

First-principles (PBE) data for an optimized crystal structure of LiLaH, as listed in the Alexandria database.

Structure (POSCAR):
```
LiLaH
1.0
3.436 0.000 0.000
-1.718 2.976 0.000
0.000 0.000 5.974
Li La H
1 1 1
Direct
0.000 0.000 0.000
0.667 0.333 0.534
0.333 0.667 0.776
```

The calculation puts the density of states at the Fermi level at 2.79 states/eV per cell. Its space group is P3m1 (156). For the total energy, the calculation gives -3.486 eV per atom.

First-principles (PBE) data for an optimized crystal structure of LiLa3H, as listed in the Alexandria database.

Structure (POSCAR):
```
LiLa3H
1.0
5.154 0.000 0.000
0.000 5.154 0.000
0.000 0.000 5.154
Li La H
1 3 1
Direct
0.000 0.000 0.000
0.000 0.500 0.500
0.500 0.000 0.500
0.500 0.500 0.000
0.500 0.500 0.500
```

The calculation puts the density of states at the Fermi level at 4.58 states/eV per cell. Its space group is Pm-3m (221). For the total energy, the calculation gives -4.058 eV per atom.

First-principles (PBE) data for an optimized crystal structure of LiLaH2, as listed in the Alexandria database.

Structure (POSCAR):
```
LiLaH2
1.0
1.741 1.005 5.399
-1.741 1.005 5.399
0.000 -2.010 5.399
Li La H
1 1 2
Direct
0.000 0.000 0.000
0.500 0.500 0.500
0.264 0.264 0.264
0.736 0.736 0.736
```

The calculation puts the density of states at the Fermi level at 1.34 states/eV per cell. Its space group is R-3m (166). For the total energy, the calculation gives -3.681 eV per atom.

First-principles (PBE) data for an optimized crystal structure of LiLaH, as listed in the Alexandria database.

Structure (POSCAR):
```
LiLaH
1.0
3.717 0.000 0.000
0.000 3.699 0.000
-0.049 0.000 8.187
Li La H
2 2 2
Direct
0.248 0.250 0.081
0.752 0.750 0.919
0.252 0.250 0.657
0.748 0.750 0.343
0.248 0.250 0.342
0.752 0.750 0.658
```

The calculation puts the density of states at the Fermi level at 3.38 states/eV per cell. Its space group is P2_1/m (11). For the total energy, the calculation gives -3.655 eV per atom.

First-principles (PBE) data for an optimized crystal structure of LiLa3H3, as listed in the Alexandria database.

Structure (POSCAR):
```
LiLa3H3
1.0
6.793 0.000 0.000
0.000 6.793 0.000
0.000 0.000 6.793
Li La H
2 6 6
Direct
0.000 0.000 0.000
0.500 0.500 0.500
0.000 0.250 0.500
0.000 0.750 0.500
0.250 0.500 0.000
0.500 0.000 0.250
0.500 0.000 0.750
0.750 0.500 0.000
0.000 0.500 0.250
0.000 0.500 0.750
0.250 0.000 0.500
0.500 0.250 0.000
0.500 0.750 0.000
0.750 0.000 0.500
```

The calculation puts the density of states at the Fermi level at 10.94 states/eV per cell. Its space group is Pm-3n (223). For the total energy, the calculation gives -4.047 eV per atom.

First-principles (PBE) data for an optimized crystal structure of Li3LaH, as listed in the Alexandria database.

Structure (POSCAR):
```
Li3LaH
1.0
4.679 0.000 0.000
0.000 4.679 0.000
0.000 0.000 4.679
Li La H
3 1 1
Direct
0.000 0.000 0.500
0.000 0.500 0.000
0.500 0.000 0.000
0.500 0.500 0.500
0.000 0.000 0.000
```

The calculation puts the density of states at the Fermi level at 3.03 states/eV per cell. Its space group is Pm-3m (221). For the total energy, the calculation gives -2.495 eV per atom.

First-principles (PBE) data for an optimized crystal structure of LiLaH3, as listed in the Alexandria database.

Structure (POSCAR):
```
LiLaH3
1.0
2.054 -6.087 0.000
2.054 6.087 0.000
0.000 0.000 4.872
Li La H
2 2 6
Direct
0.080 0.920 0.750
0.920 0.080 0.250
0.355 0.645 0.750
0.645 0.355 0.250
0.184 0.816 0.011
0.184 0.816 0.489
0.434 0.566 0.250
0.566 0.434 0.750
0.816 0.184 0.511
0.816 0.184 0.989
```

The calculation puts the density of states at the Fermi level at 2.79 states/eV per cell. Its space group is Cmcm (63). For the total energy, the calculation gives -3.872 eV per atom.

First-principles (PBE) data for an optimized crystal structure of LiLaH3, as listed in the Alexandria database.

Structure (POSCAR):
```
LiLaH3
1.0
4.543 0.000 0.000
0.000 4.543 0.000
0.000 0.000 4.543
Li La H
1 1 3
Direct
0.000 0.000 0.000
0.500 0.500 0.500
0.000 0.500 0.500
0.500 0.000 0.500
0.500 0.500 0.000
```

The calculation puts the density of states at the Fermi level at 1.76 states/eV per cell. Its space group is Pm-3m (221). For the total energy, the calculation gives -3.483 eV per atom.

First-principles (PBE) data for an optimized crystal structure of LiLaH, as listed in the Alexandria database.

Structure (POSCAR):
```
LiLaH
1.0
5.496 0.000 0.000
0.000 3.707 0.000
-0.005 0.000 5.497
Li La H
2 2 2
Direct
0.250 0.000 0.230
0.750 0.000 0.770
0.250 0.500 0.725
0.750 0.500 0.275
0.000 0.000 0.500
0.500 0.000 0.500
```

The calculation puts the density of states at the Fermi level at 5.36 states/eV per cell. Its space group is P2/m (10). For the total energy, the calculation gives -3.607 eV per atom.

First-principles (PBE) data for an optimized crystal structure of LiLaH2, as listed in the Alexandria database.

Structure (POSCAR):
```
LiLaH2
1.0
-2.314 2.314 5.313
2.314 -2.314 5.313
2.314 2.314 -5.313
Li La H
2 2 4
Direct
0.000 0.000 0.000
0.750 0.250 0.500
0.250 0.750 0.500
0.500 0.500 0.000
0.026 0.625 0.901
0.375 0.276 0.401
0.724 0.125 0.099
0.875 0.974 0.599
```

The calculation puts the density of states at the Fermi level at 1.20 states/eV per cell. Its space group is I-42d (122). For the total energy, the calculation gives -3.612 eV per atom.